GGA-PBE FeRe2Mo, relaxed; total magnetization = 2.89 μB per formula unit; ΔH_f (0 K) = 0.133 eV per atom; E above lowest polymorph = 21 meV/atom
1.0
0.000 3.078 3.078
3.078 0.000 3.078
3.078 3.078 0.000
Fe Re Mo
1 2 1
Cartesian
0.000 0.000 0.000
1.539 1.539 1.539
3.078 3.078 3.078
4.617 4.617 4.617

=====

GGA-PBE Fe2ReMo2, relaxed; total magnetization = 0.00 μB per formula unit; ΔH_f (0 K) = 0.189 eV per atom
1.0
6.828 0.000 0.000
0.000 6.828 0.000
0.000 0.000 2.908
Fe Re Mo
4 2 4
Cartesian
0.865 2.549 0.000
2.549 5.963 0.000
4.279 0.865 0.000
5.963 4.279 0.000
0.000 0.000 0.000
3.414 3.414 0.000
1.185 4.599 1.454
2.229 1.185 1.454
4.599 5.643 1.454
5.643 2.229 1.454

=====

GGA-PBE FeRe2Mo, relaxed; total magnetization = 0.01 μB per formula unit; ΔH_f (0 K) = 0.168 eV per atom; E above lowest polymorph = 56 meV/atom
1.0
4.490 -1.367 0.000
4.490 1.367 0.000
-0.849 0.000 4.641
Fe Re Mo
1 2 1
Cartesian
0.000 0.000 0.000
4.020 0.000 2.233
6.434 0.000 1.060
1.643 0.000 3.487

=====

GGA-PBE FeReMo3, relaxed; total magnetization = 0.00 μB per formula unit; ΔH_f (0 K) = 1.299 eV per atom; E above lowest polymorph = 0 meV/atom
1.0
4.385 0.000 0.000
0.000 4.385 0.000
0.000 0.000 4.385
Fe Re Mo
1 1 3
Cartesian
0.000 0.000 0.000
2.192 2.192 2.192
0.000 0.000 2.192
0.000 2.192 0.000
2.192 0.000 0.000

=====

GGA-PBE FeRe2Mo, relaxed; total magnetization = 1.92 μB per formula unit; ΔH_f (0 K) = 0.197 eV per atom; E above lowest polymorph = 85 meV/atom
1.0
1.372 0.792 8.916
-1.372 0.792 8.916
0.000 -1.584 8.916
Fe Re Mo
1 2 1
Cartesian
0.000 0.000 0.000
0.000 0.000 6.790
0.000 0.000 13.476
0.000 0.000 20.016

=====

GGA-PBE FeRe2Mo, relaxed; total magnetization = 1.41 μB per formula unit; ΔH_f (0 K) = 0.144 eV per atom; E above lowest polymorph = 32 meV/atom
1.0
-1.937 1.937 3.830
1.937 -1.937 3.830
1.937 1.937 -3.830
Fe Re Mo
1 2 1
Cartesian
0.000 0.000 0.000
1.937 0.000 1.915
0.000 1.937 1.915
0.000 0.000 3.830

=====

GGA-PBE FeRe2Mo, relaxed; total magnetization = 2.78 μB per formula unit; ΔH_f (0 K) = 0.149 eV per atom; E above lowest polymorph = 37 meV/atom
1.0
-1.549 2.168 4.346
1.549 -2.168 4.346
1.549 2.168 -4.346
Fe Re Mo
1 2 1
Cartesian
0.000 0.000 0.000
1.549 0.000 2.147
0.000 2.168 2.199
0.000 0.000 4.346

=====

GGA-PBE FeRe2Mo, relaxed; total magnetization = 2.73 μB per formula unit; ΔH_f (0 K) = 0.137 eV per atom; E above lowest polymorph = 25 meV/atom
1.0
-1.559 2.148 4.333
1.559 -2.148 4.333
1.559 2.148 -4.333
Fe Re Mo
1 2 1
Cartesian
0.000 0.000 0.000
0.000 0.000 4.333
0.000 2.148 2.202
1.559 0.000 2.134

=====

GGA-PBE FeRe2Mo, relaxed; total magnetization = 3.22 μB per formula unit; ΔH_f (0 K) = 0.157 eV per atom; E above lowest polymorph = 44 meV/atom
1.0
0.000 3.077 3.077
3.077 0.000 3.077
3.077 3.077 0.000
Fe Re Mo
1 2 1
Cartesian
0.000 0.000 0.000
1.538 1.538 1.538
4.615 4.615 4.615
3.077 3.077 3.077

=====

GGA-PBE FeReMo4, relaxed; total magnetization = 2.65 μB per formula unit; ΔH_f (0 K) = 0.458 eV per atom
1.0
0.000 3.633 3.633
3.633 0.000 3.633
3.633 3.633 0.000
Fe Re Mo
1 1 4
Cartesian
0.000 0.000 0.000
1.817 1.817 1.817
4.547 2.720 2.720
2.720 4.547 2.720
2.720 2.720 4.547
4.547 4.547 4.547

=====

GGA-PBE FeRe2Mo, relaxed; total magnetization = 2.55 μB per formula unit; ΔH_f (0 K) = 0.147 eV per atom; E above lowest polymorph = 35 meV/atom
1.0
3.140 0.000 0.000
0.000 4.297 0.000
0.000 0.000 4.310
Fe Re Mo
1 2 1
Cartesian
0.000 0.000 0.000
0.000 2.149 2.155
1.570 2.149 0.000
1.570 0.000 2.155

=====

GGA-PBE Fe2Re2Mo, relaxed; total magnetization = 0.00 μB per formula unit; ΔH_f (0 K) = 0.130 eV per atom
1.0
7.121 0.000 0.000
0.000 7.121 0.000
0.000 0.000 2.671
Fe Re Mo
4 4 2
Cartesian
0.872 2.688 0.000
2.688 6.249 0.000
4.432 0.872 0.000
6.249 4.432 0.000
1.224 4.784 1.336
2.337 1.224 1.336
4.784 5.897 1.336
5.897 2.337 1.336
0.000 0.000 0.000
3.560 3.560 0.000

=====

GGA-PBE FeRe2Mo, relaxed; total magnetization = 1.25 μB per formula unit; ΔH_f (0 K) = 0.191 eV per atom; E above lowest polymorph = 79 meV/atom
1.0
2.726 -3.870 0.000
2.726 3.870 0.000
0.000 0.000 2.734
Fe Re Mo
1 2 1
Cartesian
0.000 0.000 0.000
1.363 1.935 1.367
1.363 -1.935 1.367
2.726 0.000 0.000

=====

GGA-PBE FeRe4Mo, relaxed; total magnetization = 1.60 μB per formula unit; ΔH_f (0 K) = 0.366 eV per atom
1.0
0.000 3.624 3.624
3.624 0.000 3.624
3.624 3.624 0.000
Fe Re Mo
1 4 1
Cartesian
0.000 0.000 0.000
2.712 2.712 2.712
4.536 4.536 2.712
4.536 2.712 4.536
2.712 4.536 4.536
5.436 5.436 5.436

=====

GGA-PBE FeRe2Mo, relaxed; total magnetization = 0.02 μB per formula unit; ΔH_f (0 K) = 0.181 eV per atom; E above lowest polymorph = 69 meV/atom
1.0
2.713 0.000 0.000
0.000 3.770 0.000
0.000 0.000 5.586
Fe Re Mo
1 2 1
Cartesian
0.000 0.000 0.000
1.357 1.885 1.275
1.357 1.885 4.310
0.000 0.000 2.793

=====

GGA-PBE FeRe2Mo, relaxed; total magnetization = 2.13 μB per formula unit; ΔH_f (0 K) = 0.182 eV per atom; E above lowest polymorph = 70 meV/atom
1.0
1.555 -2.166 0.000
1.555 2.166 0.000
0.000 0.000 8.640
Fe Re Mo
1 2 1
Cartesian
0.000 0.000 0.000
0.000 0.000 4.347
1.555 0.000 6.584
1.555 0.000 2.093

=====

GGA-PBE FeRe2Mo, relaxed; total magnetization = 1.45 μB per formula unit; ΔH_f (0 K) = 0.204 eV per atom; E above lowest polymorph = 91 meV/atom
1.0
1.364 0.787 8.973
-1.364 0.787 8.973
0.000 -1.575 8.973
Fe Re Mo
1 2 1
Cartesian
0.000 0.000 0.000
0.000 0.000 6.881
0.000 0.000 20.038
0.000 0.000 13.459

=====

GGA-PBE FeRe2Mo, relaxed; total magnetization = 1.38 μB per formula unit; ΔH_f (0 K) = 0.112 eV per atom; E above lowest polymorph = 0 meV/atom
1.0
-1.942 1.942 3.805
1.942 -1.942 3.805
1.942 1.942 -3.805
Fe Re Mo
1 2 1
Cartesian
0.000 0.000 0.000
0.000 0.000 3.805
0.000 1.942 1.902
1.942 0.000 1.902

=====

GGA-PBE FeRe2Mo, relaxed; total magnetization = 2.47 μB per formula unit; ΔH_f (0 K) = 0.147 eV per atom; E above lowest polymorph = 34 meV/atom
1.0
3.118 0.000 0.000
0.000 3.118 0.000
0.000 0.000 5.930
Fe Re Mo
1 2 1
Cartesian
0.000 0.000 0.000
0.000 0.000 2.982
1.559 1.559 4.556
1.559 1.559 1.373

=====

GGA-PBE FeRe2Mo, relaxed; total magnetization = 1.48 μB per formula unit; ΔH_f (0 K) = 0.153 eV per atom; E above lowest polymorph = 41 meV/atom
1.0
2.738 0.000 0.000
0.000 3.858 0.000
0.000 0.000 5.455
Fe Re Mo
1 2 1
Cartesian
0.000 0.000 0.000
0.000 0.000 2.787
1.369 1.929 4.128
1.369 1.929 1.317

=====

GGA-PBE Fe4ReMo, relaxed; total magnetization = 5.32 μB per formula unit; ΔH_f (0 K) = 0.000 eV per atom
1.0
0.000 3.317 3.317
3.317 0.000 3.317
3.317 3.317 0.000
Fe Re Mo
4 1 1
Cartesian
0.830 0.830 0.830
2.487 2.487 0.830
2.487 0.830 2.487
0.830 2.487 2.487
3.317 3.317 3.317
4.975 4.975 4.975

=====

GGA-PBE FeRe2Mo, relaxed; total magnetization = 2.36 μB per formula unit; ΔH_f (0 K) = 0.134 eV per atom; E above lowest polymorph = 22 meV/atom
1.0
2.676 -4.386 0.000
2.676 4.386 0.000
-0.930 0.000 2.488
Fe Re Mo
1 2 1
Cartesian
0.000 0.000 0.000
0.873 2.193 1.244
0.873 -2.193 1.244
2.676 0.000 0.000

=====

GGA-PBE FeRe2Mo, relaxed; total magnetization = 2.56 μB per formula unit; ΔH_f (0 K) = 0.123 eV per atom; E above lowest polymorph = 11 meV/atom
1.0
2.653 0.000 0.000
0.000 4.372 0.000
-0.806 0.000 5.039
Fe Re Mo
1 2 1
Cartesian
0.000 0.000 0.000
0.042 2.186 3.821
1.804 2.186 1.219
0.923 0.000 2.520

=====

GGA-PBE FeReMoRu, relaxed; total magnetization = 3.05 μB per formula unit; ΔH_f (0 K) = 0.185 eV per atom
1.0
0.000 3.064 3.064
3.064 0.000 3.064
3.064 3.064 0.000
Fe Re Mo Ru
1 1 1 1
Cartesian
0.000 0.000 0.000
3.064 3.064 3.064
4.596 4.596 4.596
1.532 1.532 1.532

=====

GGA-PBE FeReMo2S, relaxed; total magnetization = 0.00 μB per formula unit; formation energy without anion corrections = 128.37 kJ per mole of atoms
1.0
4.573 0.000 0.000
0.000 4.573 0.000
0.000 0.000 3.873
Fe Re Mo S
1 1 2 1
Cartesian
0.000 0.000 0.000
2.287 2.287 1.936
0.000 2.287 0.000
2.287 0.000 0.000
0.000 0.000 1.936

=====

GGA-PBE TaFeReMo, relaxed; total magnetization = 1.74 μB per formula unit; ΔH_f (0 K) = -0.064 eV per atom
1.0
0.000 3.122 3.122
3.122 0.000 3.122
3.122 3.122 0.000
Ta Fe Re Mo
1 1 1 1
Cartesian
0.000 0.000 0.000
1.561 1.561 1.561
4.683 4.683 4.683
3.122 3.122 3.122

=====

GGA-PBE TiFeReMo, relaxed; total magnetization = 0.94 μB per formula unit; ΔH_f (0 K) = -0.172 eV per atom
1.0
0.000 3.070 3.070
3.070 0.000 3.070
3.070 3.070 0.000
Ti Fe Re Mo
1 1 1 1
Cartesian
0.000 0.000 0.000
4.604 4.604 4.604
1.535 1.535 1.535
3.070 3.070 3.070

=====

GGA-PBE Ti2FeReMo, relaxed; total magnetization = 0.07 μB per formula unit; ΔH_f (0 K) = 1.626 eV per atom
1.0
4.603 0.000 0.000
0.000 4.603 0.000
0.000 0.000 4.666
Ti Fe Re Mo
2 1 1 1
Cartesian
0.000 2.301 0.000
2.301 0.000 0.000
0.000 0.000 2.333
2.301 2.301 2.333
2.301 2.301 0.000

=====

GGA-PBE Fe2MoRh, relaxed; total magnetization = 3.82 μB per formula unit; ΔH_f (0 K) = 0.548 eV per atom
1.0
-1.826 1.826 8.702
1.826 -1.826 8.702
1.826 1.826 -8.702
Fe Mo Rh
4 2 2
Cartesian
2.739 0.901 -2.175
0.901 0.913 2.175
-0.913 0.925 6.526
0.925 0.913 10.877
0.000 0.000 0.000
0.000 1.826 4.351
1.826 0.000 4.351
0.000 0.000 8.702